No. 1
! KZr2Ru (GGA-PBEsol, optimized geometry); values from VASP
&SYSTEM
  ibrav = 0, nat = 4, ntyp = 3
/
ATOMIC_SPECIES
K 39.10 K.upf
Zr 91.22 Zr.upf
Ru 101.07 Ru.upf
CELL_PARAMETERS angstrom
1.661 -2.561 0.000
1.661 2.561 0.000
0.000 0.000 10.629
ATOMIC_POSITIONS angstrom
K 0.000 0.000 0.000
Zr 0.000 0.000 4.554
Zr 1.661 0.000 7.166
Ru 1.661 0.000 2.696
! Polymorph energy (0 for the lowest one) = 0.35 eV per formula unit
! Volume = 90.5 Å³/f.u.
! E_form = 0.431 eV per atom
! DOS(E_F) = 0.848 states/eV/atom

No. 2
! Ni2AsPt (GGA-PBEsol, optimized geometry); values from VASP
&SYSTEM
  ibrav = 0, nat = 4, ntyp = 3
/
ATOMIC_SPECIES
Ni 58.69 Ni.upf
As 74.92 As.upf
Pt 195.08 Pt.upf
CELL_PARAMETERS angstrom
-1.602 2.071 3.855
1.602 -2.071 3.855
1.602 2.071 -3.855
ATOMIC_POSITIONS angstrom
Ni 0.000 0.000 1.710
Ni 0.000 0.000 6.000
As 1.602 0.000 0.000
Pt 0.000 2.071 0.000
! Volume = 51.1 Å³/f.u.
! E_form = -0.109 eV per atom
! DOS(E_F) = 0.753 states/eV/atom

No. 3
! Mg2Co2Cl (GGA-PBEsol, optimized geometry); values from VASP
&SYSTEM
  ibrav = 0, nat = 5, ntyp = 3
/
ATOMIC_SPECIES
Mg 24.30 Mg.upf
Co 58.93 Co.upf
Cl 35.45 Cl.upf
CELL_PARAMETERS angstrom
-1.632 1.632 7.979
1.632 -1.632 7.979
1.632 1.632 -7.979
ATOMIC_POSITIONS angstrom
Mg 0.000 0.000 1.944
Mg 0.000 0.000 14.013
Co 1.632 0.000 3.989
Co 0.000 1.632 3.989
Cl 0.000 0.000 7.979
! Energy relative to the elements, uncorrected = -0.1138 eV/atom
! Volume = 85.0 Å³/f.u.
! DOS(E_F) = 0.651 states/eV/atom

No. 4
! KCd2Au (GGA-PBEsol, optimized geometry); values from VASP
&SYSTEM
  ibrav = 0, nat = 4, ntyp = 3
/
ATOMIC_SPECIES
K 39.10 K.upf
Cd 112.41 Cd.upf
Au 196.97 Au.upf
CELL_PARAMETERS angstrom
3.016 0.000 0.000
0.000 4.198 0.000
0.000 0.000 7.723
ATOMIC_POSITIONS angstrom
K 0.000 0.000 0.000
Cd 0.000 0.000 3.516
Cd 1.508 2.099 5.202
Au 1.508 2.099 2.256
! Volume = 97.8 Å³/f.u.
! E_form = -0.061 eV per atom
! DOS(E_F) = 0.359 states/eV/atom

No. 5
! Cu2P2O7 (GGA-PBEsol, optimized geometry); values from VASP
&SYSTEM
  ibrav = 0, nat = 11, ntyp = 3
/
ATOMIC_SPECIES
Cu 63.55 Cu.upf
P 30.97 P.upf
O 16.00 O.upf
CELL_PARAMETERS angstrom
3.474 -4.057 0.000
3.474 4.057 0.000
-1.585 0.000 4.292
ATOMIC_POSITIONS angstrom
Cu 3.474 2.535 0.000
Cu 3.474 -2.535 0.000
P 1.153 0.000 2.545
P 4.210 0.000 1.747
O 0.382 0.000 1.195
O 0.842 1.269 3.322
O 0.842 -1.269 3.322
O 2.681 0.000 2.146
O 4.521 1.269 0.970
O 4.521 -1.269 0.970
O 4.981 0.000 3.097
! Energy relative to the elements, uncorrected = -1.5806 eV/atom
! Polymorph energy (0 for the lowest one) = 0.04 eV per formula unit
! Volume = 121.0 Å³/f.u.
! DOS(E_F) = 0.138 states/eV/atom

No. 6
! KBe2Tc (GGA-PBEsol, optimized geometry); values from VASP
&SYSTEM
  ibrav = 0, nat = 4, ntyp = 3
/
ATOMIC_SPECIES
K 39.10 K.upf
Be 9.01 Be.upf
Tc 98.00 Tc.upf
CELL_PARAMETERS angstrom
2.517 0.000 0.000
0.000 3.112 0.000
0.000 0.000 7.882
ATOMIC_POSITIONS angstrom
K 0.000 0.000 0.000
Be 0.000 0.000 4.263
Be 1.259 1.556 5.188
Tc 1.259 1.556 2.861
! Polymorph energy (0 for the lowest one) = 0.00 eV per formula unit
! Volume = 61.7 Å³/f.u.
! E_form = 0.675 eV per atom
! DOS(E_F) = 0.534 states/eV/atom

Respective raw total energy values: -6.940 -6.205 -4.297 -1.924 -6.762 -4.425 eV per atom.